An optimized crystal structure of Hf2I2Cl. Source: Alexandria, functional PBE-GGA.

Cell and atoms, written as POSCAR:
```
Hf2I2Cl
1.0
-1.537 1.342 -5.521
-3.804 -4.491 -0.033
-5.607 0.903 -1.357
Hf Cl I
2 1 2
Direct
0.675 0.675 0.649 Hf
0.325 0.325 0.351 Hf
0.000 0.000 0.000 Cl
0.250 0.750 0.500 I
0.750 0.250 0.500 I
```

Its density of states at the Fermi level is 0.593 states/eV per atom. As for the space group: I4/mmm. The uncorrected formation energy comes out at -0.060 eV/atom. As for the crystal system: tetragonal. The final energy is -25.15 eV for the cell shown. The distance to the lowest polymorph of the same formula comes out at 0.0000 eV/atom.